Material: CdHgSe2
Method: DFT, PBE
State: relaxed

a = 4.401 Å, b = 4.401 Å, c = 7.167 Å
α = 90.00°, β = 90.00°, γ = 120.00°
Fractional positions:
Cd: 0.000 0.000 0.998
Hg: 0.333 0.667 0.500
Se: 0.000 0.000 0.373
Se: 0.333 0.667 0.879

## Properties
**Energy above the most stable polymorph in this dataset**: 3 meV/atom
**Crystal system**: trigonal


Material: MgCdAgPd
Method: DFT, PBE
State: relaxed

a = 4.647 Å, b = 4.647 Å, c = 4.647 Å
α = 60.00°, β = 60.00°, γ = 60.00°
Fractional positions:
Ag: 0.500 0.500 0.500
Cd: 0.250 0.250 0.250
Mg: 0.750 0.750 0.750
Pd: 0.000 0.000 0.000

## Properties
**Energy above the most stable polymorph in this dataset**: 0 meV/atom
**Crystal system**: cubic


Material: YLuCuAu
Method: DFT, PBE
State: relaxed

a = 4.815 Å, b = 4.815 Å, c = 4.815 Å
α = 60.00°, β = 60.00°, γ = 60.00°
Fractional positions:
Au: 0.750 0.750 0.750
Cu: 0.000 0.000 0.000
Lu: 0.500 0.500 0.500
Y: 0.250 0.250 0.250

## Properties
**Energy above the most stable polymorph in this dataset**: 293 meV/atom
**ΔH_f (0 K)**: -108 kJ/mol of formula units
**Crystal system**: cubic


Material: ThAgB4
Method: DFT, PBE
State: relaxed

a = 5.322 Å, b = 5.322 Å, c = 5.322 Å
α = 145.08°, β = 118.29°, γ = 72.91°
Fractional positions:
Ag: 0.000 0.000 0.000
B: 0.558 0.240 0.318
B: 0.078 0.760 0.318
B: 0.922 0.240 0.682
B: 0.442 0.760 0.682
Th: 0.500 0.500 0.000

## Properties
**Energy above the most stable polymorph in this dataset**: 0 meV/atom
**Crystal system**: orthorhombic


Material: BaPrB2Pt8
Method: DFT, PBE
State: relaxed

a = 5.605 Å, b = 5.605 Å, c = 7.650 Å
α = 90.00°, β = 90.00°, γ = 120.00°
Fractional positions:
B: 0.667 0.333 0.000
B: 0.333 0.667 0.000
Ba: 0.000 0.000 0.500
Pr: 0.000 0.000 0.000
Pt: 0.500 0.000 0.196
Pt: 0.000 0.500 0.196
Pt: 0.500 0.500 0.196
Pt: 0.667 0.333 0.500
Pt: 0.333 0.667 0.500
Pt: 0.500 0.000 0.804
Pt: 0.000 0.500 0.804
Pt: 0.500 0.500 0.804

## Properties
**Energy above the most stable polymorph in this dataset**: 0 meV/atom
**Crystal system**: hexagonal


Material: Zn2Mo
Method: DFT, PBE
State: relaxed

a = 5.018 Å, b = 8.109 Å, c = 4.410 Å
α = 90.00°, β = 90.00°, γ = 90.00°
Fractional positions:
Mo: 0.997 0.002 0.000
Mo: 0.997 0.665 0.000
Mo: 0.837 0.165 0.500
Mo: 0.837 0.502 0.500
Zn: 0.505 0.159 0.000
Zn: 0.005 0.333 0.000
Zn: 0.505 0.508 0.000
Zn: 0.495 0.833 0.000
Zn: 0.329 0.008 0.500
Zn: 0.338 0.333 0.500
Zn: 0.329 0.659 0.500
Zn: 0.828 0.833 0.500

## Properties
**ΔH_f (0 K)**: 42 kJ/mol of formula units
**Crystal system**: orthorhombic


Material: SrHfBePd
Method: DFT, PBE
State: relaxed

a = 4.881 Å, b = 4.881 Å, c = 4.881 Å
α = 60.00°, β = 60.00°, γ = 60.00°
Fractional positions:
Be: 0.750 0.750 0.750
Hf: 0.500 0.500 0.500
Pd: 0.250 0.250 0.250
Sr: 0.000 0.000 0.000

## Properties
**Energy above the most stable polymorph in this dataset**: 0 meV/atom
**Crystal system**: cubic


Material: MgZnReNi
Method: DFT, PBE
State: relaxed

a = 4.316 Å, b = 4.316 Å, c = 4.316 Å
α = 60.00°, β = 60.00°, γ = 60.00°
Fractional positions:
Mg: 0.250 0.250 0.250
Ni: 0.750 0.750 0.750
Re: 0.500 0.500 0.500
Zn: 0.000 0.000 0.000

## Properties
**Final energy**: -4.827 eV per atom
**Crystal system**: cubic


Material: YHoPO
Method: DFT, PBE
State: relaxed

a = 4.129 Å, b = 7.569 Å, c = 5.555 Å
α = 90.00°, β = 90.00°, γ = 90.00°
Fractional positions:
Ho: 0.000 0.205 0.439
Ho: 0.000 0.795 0.939
O: 0.500 0.328 0.398
O: 0.500 0.672 0.898
P: 0.000 0.846 0.436
P: 0.000 0.154 0.936
Y: 0.500 0.626 0.482
Y: 0.500 0.374 0.982

## Properties
**Energy above the most stable polymorph in this dataset**: 0 meV/atom
**Crystal system**: orthorhombic


Material: NbInAs
Method: DFT, PBE
State: relaxed

a = 4.702 Å, b = 4.702 Å, c = 4.702 Å
α = 60.00°, β = 60.00°, γ = 60.00°
Fractional positions:
As: 0.250 0.250 0.250
In: 0.000 0.000 0.000
Nb: 0.750 0.750 0.750

## Properties
**Energy above the most stable polymorph in this dataset**: 488 meV/atom
**Crystal system**: cubic


Material: ErPbAu
Method: DFT, PBE
State: relaxed

a = 4.806 Å, b = 4.806 Å, c = 4.806 Å
α = 60.00°, β = 60.00°, γ = 60.00°
Fractional positions:
Au: 0.000 0.000 0.000
Er: 0.250 0.250 0.250
Pb: 0.750 0.750 0.750

## Properties
**Final energy**: -4.508 eV per atom
**Crystal system**: cubic


Material: TbB4Pt
Method: DFT, PBE
State: relaxed

a = 4.982 Å, b = 4.982 Å, c = 4.982 Å
α = 142.97°, β = 116.10°, γ = 76.22°
Fractional positions:
B: 0.561 0.239 0.322
B: 0.083 0.761 0.322
B: 0.917 0.239 0.678
B: 0.439 0.761 0.678
Pt: 0.000 0.000 0.000
Tb: 0.500 0.500 0.000

## Properties
**Energy above the most stable polymorph in this dataset**: 0 meV/atom
**Crystal system**: orthorhombic


Material: Tc2SnGe2
Method: DFT, PBE
State: relaxed

a = 5.521 Å, b = 5.521 Å, c = 5.521 Å
α = 132.02°, β = 132.02°, γ = 70.20°
Fractional positions:
Ge: 0.368 0.368 0.000
Ge: 0.632 0.632 0.000
Sn: 0.000 0.000 0.000
Tc: 0.750 0.250 0.500
Tc: 0.250 0.750 0.500

## Properties
**Energy above the most stable polymorph in this dataset**: 176 meV/atom
**Crystal system**: tetragonal


Material: GdMgZn
Method: DFT, PBE
State: relaxed

a = 4.756 Å, b = 4.756 Å, c = 6.880 Å
α = 90.00°, β = 90.00°, γ = 120.00°
Fractional positions:
Gd: 0.000 0.000 0.196
Gd: 0.000 0.000 0.696
Mg: 0.667 0.333 0.448
Mg: 0.333 0.667 0.948
Zn: 0.333 0.667 0.441
Zn: 0.667 0.333 0.941

## Properties
**Final energy**: -2.680 eV per atom
**Crystal system**: hexagonal


Material: BOs2W
Method: DFT, PBE
State: relaxed

a = 4.240 Å, b = 4.240 Å, c = 4.240 Å
α = 60.00°, β = 60.00°, γ = 60.00°
Fractional positions:
B: 0.500 0.500 0.500
Os: 0.000 0.000 0.000
Os: 0.750 0.750 0.750
W: 0.250 0.250 0.250

## Properties
**Final energy**: -9.690 eV per atom
**Crystal system**: cubic


Material: Dy2TmCu4Si4
Method: DFT, PBE
State: relaxed

a = 7.841 Å, b = 7.841 Å, c = 7.841 Å
α = 149.48°, β = 130.89°, γ = 58.93°
Fractional positions:
Cu: 0.522 0.331 0.191
Cu: 0.859 0.669 0.191
Cu: 0.141 0.331 0.809
Cu: 0.478 0.669 0.809
Dy: 0.130 0.130 0.000
Dy: 0.870 0.870 0.000
Si: 0.814 0.500 0.314
Si: 0.716 0.216 0.500
Si: 0.284 0.784 0.500
Si: 0.186 0.500 0.686
Tm: 0.500 0.000 0.500

## Properties
**Final energy**: -5.201 eV per atom
**Crystal system**: orthorhombic


Material: K3Ag5Pb
Method: DFT, PBE
State: relaxed

a = 11.303 Å, b = 11.303 Å, c = 11.303 Å
α = 150.00°, β = 55.34°, γ = 134.64°
Fractional positions:
Ag: 0.000 0.000 0.000
Ag: 0.101 0.958 0.143
Ag: 0.185 0.500 0.185
Ag: 0.815 0.000 0.315
Ag: 0.316 0.958 0.357
Ag: 0.500 0.000 0.500
Ag: 0.684 0.042 0.643
Ag: 0.185 0.000 0.685
Ag: 0.815 0.500 0.815
Ag: 0.899 0.042 0.857
K: 0.466 0.378 0.087
K: 0.867 0.617 0.250
K: 0.791 0.378 0.413
K: 0.209 0.622 0.587
K: 0.133 0.383 0.750
K: 0.534 0.622 0.913
Pb: 0.418 0.168 0.250
Pb: 0.582 0.832 0.750

## Properties
**Final energy**: -2.410 eV per atom
**Crystal system**: orthorhombic


Material: Ba2TlH6Pd
Method: DFT, PBE
State: relaxed

a = 5.922 Å, b = 5.922 Å, c = 5.922 Å
α = 60.00°, β = 60.00°, γ = 60.00°
Fractional positions:
Ba: 0.250 0.250 0.250
Ba: 0.750 0.750 0.750
H: 0.788 0.212 0.212
H: 0.212 0.788 0.212
H: 0.788 0.788 0.212
H: 0.212 0.212 0.788
H: 0.788 0.212 0.788
H: 0.212 0.788 0.788
Pd: 0.000 0.000 0.000
Tl: 0.500 0.500 0.500

## Properties
**Final energy**: -3.461 eV per atom
**Crystal system**: cubic


Material: PrSnGe
Method: DFT, PBE
State: relaxed

a = 4.975 Å, b = 4.975 Å, c = 4.975 Å
α = 60.00°, β = 60.00°, γ = 60.00°
Fractional positions:
Ge: 0.000 0.000 0.000
Pr: 0.250 0.250 0.250
Sn: 0.750 0.750 0.750

## Properties
**Final energy**: -4.766 eV per atom
**Crystal system**: cubic


Material: Dy3Y3NiTe2
Method: DFT, PBE
State: relaxed

a = 8.437 Å, b = 8.437 Å, c = 3.923 Å
α = 90.00°, β = 90.00°, γ = 120.00°
Last column: magnetic moment on the atom in μB.
Fractional positions:
Dy: 0.596 0.000 0.000  0.12
Dy: 0.404 0.404 0.000  0.13
Dy: 0.000 0.596 0.000  0.10
Ni: 0.000 0.000 0.000  0.04
Te: 0.667 0.333 0.500  -0.01
Te: 0.333 0.667 0.500  -0.01
Y: 0.240 0.000 0.500  0.08
Y: 0.000 0.240 0.500  0.08
Y: 0.760 0.760 0.500  0.08

## Properties
**Energy above the most stable polymorph in this dataset**: 13 meV/atom
**Crystal system**: hexagonal


Material: Zr2AlGe2
Method: DFT, PBE
State: relaxed

a = 6.317 Å, b = 6.317 Å, c = 6.317 Å
α = 138.07°, β = 138.07°, γ = 60.79°
Fractional positions:
Al: 0.000 0.000 0.000
Ge: 0.390 0.390 0.000
Ge: 0.610 0.610 0.000
Zr: 0.750 0.250 0.500
Zr: 0.250 0.750 0.500

## Properties
**Final energy**: -6.084 eV per atom
**Crystal system**: tetragonal


Material: ScFeB
Method: DFT, PBE
State: relaxed

a = 3.970 Å, b = 3.970 Å, c = 3.970 Å
α = 60.00°, β = 60.00°, γ = 60.00°
Fractional positions:
B: 0.250 0.250 0.250
Fe: 0.750 0.750 0.750
Sc: 0.000 0.000 0.000

## Properties
**Final energy**: -5.953 eV per atom
**Crystal system**: cubic


Material: TbDyPb4
Method: DFT, PBE
State: relaxed

a = 3.309 Å, b = 10.143 Å, c = 10.143 Å
α = 36.27°, β = 90.00°, γ = 90.00°
Fractional positions:
Dy: 0.000 0.591 0.591
Pb: 0.000 0.083 0.083
Pb: 0.000 0.244 0.244
Pb: 0.000 0.756 0.756
Pb: 0.000 0.918 0.918
Tb: 0.000 0.408 0.408

## Properties
**Final energy**: -3.792 eV per atom
**Crystal system**: orthorhombic


Material: HfNi2B
Method: DFT, PBE
State: relaxed

a = 2.950 Å, b = 5.824 Å, c = 5.824 Å
α = 29.39°, β = 90.00°, γ = 90.00°
Fractional positions:
B: 0.500 0.614 0.614
Hf: 0.000 0.438 0.438
Ni: 0.000 0.156 0.156
Ni: 0.500 0.793 0.793

## Properties
**Final energy**: -7.101 eV per atom
**Crystal system**: orthorhombic


Material: BiIrNO
Method: DFT, PBE
State: relaxed

a = 5.647 Å, b = 8.573 Å, c = 4.961 Å
α = 90.00°, β = 90.00°, γ = 90.00°
Fractional positions:
Bi: 0.983 0.333 0.386
Bi: 0.483 0.667 0.386
Bi: 0.517 0.333 0.886
Bi: 0.017 0.667 0.886
Ir: 0.098 0.013 0.092
Ir: 0.598 0.987 0.092
Ir: 0.402 0.013 0.592
Ir: 0.902 0.987 0.592
N: 0.365 0.142 0.252
N: 0.865 0.858 0.252
N: 0.135 0.142 0.752
N: 0.635 0.858 0.752
O: 0.620 0.417 0.473
O: 0.120 0.583 0.473
O: 0.880 0.417 0.973
O: 0.380 0.583 0.973

## Properties
**Energy above the most stable polymorph in this dataset**: 0 meV/atom
**Crystal system**: orthorhombic


Material: PmAl8Cu4
Method: DFT, PBE
State: relaxed

a = 6.751 Å, b = 6.751 Å, c = 6.751 Å
α = 98.38°, β = 98.38°, γ = 135.11°
Fractional positions:
Al: 0.720 0.500 0.220
Al: 0.500 0.720 0.220
Al: 0.349 0.000 0.349
Al: 0.000 0.349 0.349
Al: 0.651 0.000 0.651
Al: 0.000 0.651 0.651
Al: 0.280 0.500 0.780
Al: 0.500 0.280 0.780
Cu: 0.500 0.000 0.000
Cu: 0.000 0.500 0.000
Cu: 0.000 0.000 0.500
Cu: 0.500 0.500 0.500
Pm: 0.000 0.000 0.000

## Properties
**Final energy**: -4.125 eV per atom
**Crystal system**: tetragonal